1.
Below is HfB4H16 after structural relaxation, with properties calculated at the PBE level.

Properties
The value obtained for the density of states at the Fermi level is 0.00 states/eV per cell. For the calculated total energy, the calculation gives -4.51 eV per atom.

Cell: 5.865 5.865 5.865 Å, 90.00 90.00 90.00°
Atoms (fractional coordinates):
Hf 0.000 0.000 0.000
B 0.225 0.225 0.225
B 0.225 0.775 0.775
B 0.775 0.225 0.775
B 0.775 0.775 0.225
H 0.016 0.256 0.256
H 0.016 0.744 0.744
H 0.256 0.016 0.256
H 0.256 0.256 0.016
H 0.256 0.744 0.984
H 0.256 0.984 0.744
H 0.342 0.342 0.342
H 0.342 0.658 0.658
H 0.658 0.342 0.658
H 0.658 0.658 0.342
H 0.744 0.016 0.744
H 0.744 0.256 0.984
H 0.744 0.744 0.016
H 0.744 0.984 0.256
H 0.984 0.256 0.744
H 0.984 0.744 0.256


2.
Below is Li12ZnRh6 after structural relaxation, with properties calculated at the PBE level.

Properties
The value obtained for the density of states at the Fermi level is 9.54 states/eV per cell. The value obtained for the calculated formation energy is -72 meV per atom.

Cell: 6.546 6.546 6.546 Å, 100.72 100.72 100.72°
Atoms (fractional coordinates):
Li 0.000 0.256 0.744
Li 0.000 0.744 0.256
Li 0.184 0.578 0.578
Li 0.256 0.000 0.744
Li 0.256 0.744 0.000
Li 0.422 0.422 0.816
Li 0.422 0.816 0.422
Li 0.578 0.184 0.578
Li 0.578 0.578 0.184
Li 0.744 0.000 0.256
Li 0.744 0.256 0.000
Li 0.816 0.422 0.422
Zn 0.000 0.000 0.000
Rh 0.148 0.148 0.411
Rh 0.148 0.411 0.148
Rh 0.411 0.148 0.148
Rh 0.589 0.852 0.852
Rh 0.852 0.589 0.852
Rh 0.852 0.852 0.589